Computed, not measured: Sc2Fe3Mo4C3 after structural relaxation at the GGA-PBE level of DFT.

Cell lengths 9.129, 5.268, 13.636 Å; angles 90.00, 103.51, 90.00 degrees
Space group C2/c (No. 15)
Asymmetric unit:
Sc: 0.041 0.083 0.380 [8 per cell]
Fe: 0.000 0.419 0.750 [4 per cell]
Fe: 0.246 0.161 0.751 [8 per cell]
Mo: 0.111 0.406 0.585 [8 per cell]
Mo: 0.226 0.420 0.915 [8 per cell]
C: 0.083 0.249 0.000 [8 per cell]
C: 0.250 0.250 0.500 [4 per cell]

Output
Crystal system: monoclinic
Calculated total energy: -110.93 eV/f.u.